Entry 1:
The following is a PBE calculation of an optimized crystal structure of VNi2Rh5, from Alexandria.

POSCAR file:
```
VNi2Rh5
1.0
0.000 4.270 4.622
2.709 0.000 4.622
2.709 4.270 0.000
V Ni Rh
1 2 5
direct
0.000 0.000 0.000
0.410 0.911 0.089
0.911 0.410 0.590
0.412 0.412 0.088
0.485 0.987 0.515
0.494 0.494 0.506
0.912 0.912 0.588
0.987 0.485 0.013
```

## Properties
The density of states at the Fermi level comes out at 13.64 states/eV per cell. Its space group is No. 42. The calculation puts the formation energy at -91.0 kJ/mol of formula units. The density comes out at 10.60 g/cm³. The size of the total moment is 1.40 μB/cell.

***

Entry 2:
The following is a PBE calculation of an optimized crystal structure of La2TiIr, from Alexandria.

POSCAR file:
```
La2TiIr
1.0
-4.155 4.155 3.080
4.155 -4.155 3.080
4.155 4.155 -3.080
La Ti Ir
4 2 2
direct
0.078 0.625 0.953
0.375 0.328 0.453
0.672 0.125 0.047
0.875 0.922 0.547
0.250 0.750 0.500
0.500 0.500 0.000
0.000 0.000 0.000
0.750 0.250 0.500
```

## Properties
The density of states at the Fermi level comes out at 12.47 states/eV per cell. Its space group is No. 122. The calculation puts the formation energy at 40.6 kJ/mol of formula units. The density comes out at 8.09 g/cm³. As for the energy above the most stable polymorph in this dataset: 125 meV/atom. The size of the total moment is 2.72 μB/cell.

***

Entry 3:
The following is a PBE calculation of an optimized crystal structure of SmHo2ThSc4, from Alexandria.

POSCAR file:
```
SmHo2ThSc4
1.0
4.974 0.000 0.000
0.000 4.974 0.000
0.000 0.000 9.072
Sm Ho Th Sc
1 2 1 4
direct
0.000 0.000 0.000
0.000 0.000 0.500
0.500 0.500 0.000
0.500 0.500 0.500
0.000 0.500 0.253
0.000 0.500 0.747
0.500 0.000 0.253
0.500 0.000 0.747
```

## Properties
The density of states at the Fermi level comes out at 11.27 states/eV per cell. Its space group is No. 123. The calculation puts the formation energy at 31.2 kJ/mol of formula units. The density comes out at 6.60 g/cm³. The size of the total moment is 0.00 μB/cell.

***

no.,energy (eV/atom)
1,-7.298
2,-6.547
3,-5.787